--- 1 ---
A plane-wave DFT calculation with PBE was carried out for a geometry-optimized Ca4SiP structure.

Calculated values
Fermi-level density of states	3.07	states/eV/f.u.
magnetic moment	0.000	μB/cell

abc: 4.9584 4.9584 6.9680
angles: 90.00 90.00 90.00
Space group P4/mmm (No. 123)
Symmetry-distinct sites (fractional):
Ca 0.0000 0.5000 0.2493 x4
Si 0.0000 0.0000 0.5000 x1
P 0.5000 0.5000 0.0000 x1

=====

--- 2 ---
A plane-wave DFT calculation with PBE was carried out for a geometry-optimized Ca4SiP structure.

Calculated values
Fermi-level density of states	6.69	states/eV/f.u.
magnetic moment	0.641	μB/cell

abc: 8.7136 8.7136 8.7136
angles: 90.00 90.00 90.00
Space group F-43m (No. 216)
Symmetry-distinct sites (fractional):
Ca 0.1249 0.1249 0.1249 x16
Si 0.0000 0.0000 0.5000 x4
P 0.2500 0.2500 0.7500 x4

=====

--- 3 ---
A plane-wave DFT calculation with PBE was carried out for a geometry-optimized Ca4SiP structure.

Calculated values
Fermi-level density of states	3.00	states/eV/f.u.
magnetic moment	0.000	μB/cell

abc: 6.9895 6.9895 14.0047
angles: 90.00 90.00 90.00
Space group I4_1/amd (No. 141, origin choice 2)
Symmetry-distinct sites (fractional):
Ca 0.2498 0.0000 0.0000 x16
Si 0.0000 0.2500 0.3750 x4
P 0.0000 0.2500 0.8750 x4

=====

Going by the energies, 1 is most stable and the next is 56 meV per atom up.